[1]
First-principles (PBE-GGA) data for a geometry-optimized ScPtAu2 structure, as listed in the Alexandria database.

- uncorrected energy (eV per atom) = -4.94
- formation enthalpy at 0 K (eV/atom) = -0.213
- size of the total moment (Bohr magnetons per cell) = 0.000

Lattice parameters (Å, degrees): 3.169 3.169 25.894 90.00 90.00 120.00
Fractional coordinates of all 12 atoms:
Sc  0.000  0.000  0.000
Sc  0.333  0.667  0.667
Sc  0.667  0.333  0.333
Pt  0.000  0.000  0.500
Pt  0.333  0.667  0.167
Pt  0.667  0.333  0.833
Au  0.000  0.000  0.253
Au  0.000  0.000  0.747
Au  0.333  0.667  0.414
Au  0.333  0.667  0.920
Au  0.667  0.333  0.080
Au  0.667  0.333  0.586

---

[2]
First-principles (PBE-GGA) data for a geometry-optimized KSnP2 structure, as listed in the Alexandria database.

- uncorrected energy (eV per atom) = -3.96
- formation enthalpy at 0 K (eV/atom) = 0.018
- size of the total moment (Bohr magnetons per cell) = 0.000

Lattice parameters (Å, degrees): 3.809 3.809 24.209 90.00 90.00 120.00
Fractional coordinates of all 12 atoms:
K  0.000  0.000  0.000
K  0.333  0.667  0.667
K  0.667  0.333  0.333
Sn  0.000  0.000  0.500
Sn  0.333  0.667  0.167
Sn  0.667  0.333  0.833
P  0.000  0.000  0.231
P  0.000  0.000  0.769
P  0.333  0.667  0.436
P  0.333  0.667  0.898
P  0.667  0.333  0.102
P  0.667  0.333  0.564

---

[3]
First-principles (PBE-GGA) data for a geometry-optimized Ca2NdSm4 structure, as listed in the Alexandria database.

- uncorrected energy (eV per atom) = -3.35
- formation enthalpy at 0 K (eV/atom) = 0.595
- size of the total moment (Bohr magnetons per cell) = 2.044

Lattice parameters (Å, degrees): 5.713 5.713 17.905 90.00 90.00 90.00
Fractional coordinates of all 14 atoms:
Ca  0.000  0.000  0.128
Ca  0.000  0.000  0.872
Ca  0.500  0.500  0.372
Ca  0.500  0.500  0.628
Nd  0.000  0.000  0.500
Nd  0.500  0.500  0.000
Sm  0.000  0.000  0.327
Sm  0.000  0.000  0.673
Sm  0.000  0.500  0.000
Sm  0.000  0.500  0.500
Sm  0.500  0.000  0.000
Sm  0.500  0.000  0.500
Sm  0.500  0.500  0.173
Sm  0.500  0.500  0.827